A relaxed structure of K3CaAu, computed with GGA-PBE.

Properties
* energy relative to the elements: 4 kJ per mole of atoms
* uncorrected energy: -8.35 eV/cell
* energy above the most stable polymorph in this dataset: 0.000 eV per atom

Cell lengths 6.476, 6.476, 6.476 Å; angles 90.00, 90.00, 90.00 degrees
Space group Pm-3m (No. 221)
Inequivalent atoms, fractional coordinates:
K: 0.000 0.000 0.500 (multiplicity 3)
Ca: 0.500 0.500 0.500 (multiplicity 1)
Au: 0.000 0.000 0.000 (multiplicity 1)

***

A relaxed structure of ZnFeP2, computed with GGA-PBE.

Properties
* energy relative to the elements: 33 kJ per mole of atoms
* uncorrected energy: -38.34 eV/cell

Cell lengths 3.540, 3.540, 8.922 Å; angles 90.00, 90.00, 90.00 degrees
Space group I-4m2 (No. 119)
Inequivalent atoms, fractional coordinates:
Zn: 0.000 0.000 0.000 (multiplicity 2)
Fe: 0.000 0.500 0.750 (multiplicity 2)
P: 0.000 0.000 0.500 (multiplicity 2)
P: 0.000 0.500 0.250 (multiplicity 2)

***

- Among the records above, which one has the highest uncorrected energy?
  K3CaAu

***

Repeat the second record exactly.
A relaxed structure of ZnFeP2, computed with GGA-PBE.

Properties
* energy relative to the elements: 33 kJ per mole of atoms
* uncorrected energy: -38.34 eV/cell

Cell lengths 3.540, 3.540, 8.922 Å; angles 90.00, 90.00, 90.00 degrees
Space group I-4m2 (No. 119)
Inequivalent atoms, fractional coordinates:
Zn: 0.000 0.000 0.000 (multiplicity 2)
Fe: 0.000 0.500 0.750 (multiplicity 2)
P: 0.000 0.000 0.500 (multiplicity 2)
P: 0.000 0.500 0.250 (multiplicity 2)

***

Copy entry 2 word for word.
A relaxed structure of ZnFeP2, computed with GGA-PBE.

Properties
* energy relative to the elements: 33 kJ per mole of atoms
* uncorrected energy: -38.34 eV/cell

Cell lengths 3.540, 3.540, 8.922 Å; angles 90.00, 90.00, 90.00 degrees
Space group I-4m2 (No. 119)
Inequivalent atoms, fractional coordinates:
Zn: 0.000 0.000 0.000 (multiplicity 2)
Fe: 0.000 0.500 0.750 (multiplicity 2)
P: 0.000 0.000 0.500 (multiplicity 2)
P: 0.000 0.500 0.250 (multiplicity 2)

***

- uncorrected energy of number 2 (ZnFeP2)?
  -38.34 eV/cell